Dy2Tl2AsO6: optimized geometry, GGA-PBE.

It has space group C2/m (No. 12), with a = 5.827 Å, b = 10.033 Å, c = 6.812 Å, α = 90.00°, β = 104.69° and γ = 90.00°. Symmetry generates all atoms from Dy at (0.000, 0.166, 0.000), Tl at (0.000, 0.337, 0.500), As at (0.000, 0.500, 0.000), O at (0.197, 0.349, 0.160) and O at (0.249, 0.500, 0.836).

The calculated volume is 385.20 Å³/cell. The value obtained for the energy is -6.330 eV/atom.